Compound: TlCrAs
Source: Alexandria via LeMat-Bulk
Functional: GGA-PBE
Structure: relaxed

Unit cell a=4.0465 b=4.0465 c=5.1649 alpha=90.00 beta=90.00 gamma=120.00
With the nearest neighbours (Å) after each atom.
Element x y z (fractional)
Tl1 0.3333 0.6667 0.6739  3 As 3.14, 3 Cr 3.22
Cr1 0.6667 0.3333 0.2452  3 As 2.49
As1 0.0000 0.0000 0.0809  3 Cr 2.49

Summary:
ΔH_f (0 K): 255 meV/atom
Space group: P3m1
DFT total energy: -15.87 eV per cell
M_tot: 3.91 μB/f.u.